Compound: YCu2Si2
Source: Alexandria
Functional: GGA-PBEsol
Structure: relaxed Values from VASP.

The structure in Quantum ESPRESSO input format:
```
&SYSTEM
  ibrav = 0, nat = 5, ntyp = 3
/
ATOMIC_SPECIES
Y 88.91 Y.upf
Si 28.09 Si.upf
Cu 63.55 Cu.upf
CELL_PARAMETERS angstrom
-2.365 3.080 -0.598
-2.667 -2.368 -1.649
0.441 -1.093 5.537
ATOMIC_POSITIONS crystal
Y 0.000 0.000 0.000
Si 0.382 0.382 0.763
Si 0.618 0.618 0.237
Cu 0.750 0.250 0.500
Cu 0.250 0.750 0.500
```

Calculated total energy, eV/atom: -6.060

---

Compound: Ce2NiSn2Pt
Source: Alexandria
Functional: GGA-PBEsol
Structure: relaxed Values from VASP.

The structure in Quantum ESPRESSO input format:
```
&SYSTEM
  ibrav = 0, nat = 12, ntyp = 4
/
ATOMIC_SPECIES
Sn 118.71 Sn.upf
Ce 140.12 Ce.upf
Pt 195.08 Pt.upf
Ni 58.69 Ni.upf
CELL_PARAMETERS angstrom
-2.683 0.252 3.623
4.934 -3.599 3.904
3.334 6.741 2.000
ATOMIC_POSITIONS crystal
Sn 0.000 0.826 0.653
Ce 0.000 0.488 0.946
Pt 0.500 0.281 0.161
Ce 0.500 0.517 0.553
Ni 0.000 0.204 0.663
Pt 0.500 0.781 0.839
Sn 0.500 0.183 0.825
Sn 0.500 0.683 0.175
Ce 0.000 0.988 0.054
Ni 0.000 0.704 0.337
Sn 0.000 0.326 0.347
Ce 0.500 0.017 0.447
```

Calculated total energy, eV/atom: -6.568
Energy relative to the elements, eV/f.u.: -4.6

---

Compound: Ta2CuRu
Source: Alexandria
Functional: GGA-PBEsol
Structure: relaxed Values from VASP.

The structure in Quantum ESPRESSO input format:
```
&SYSTEM
  ibrav = 0, nat = 4, ntyp = 3
/
ATOMIC_SPECIES
Ru 101.07 Ru.upf
Ta 180.95 Ta.upf
Cu 63.55 Cu.upf
CELL_PARAMETERS angstrom
-2.970 -1.718 -1.504
1.958 -3.476 0.104
-1.443 -0.703 3.653
ATOMIC_POSITIONS crystal
Ru 0.500 0.000 0.000
Ta 0.000 0.000 0.500
Cu 0.500 0.500 0.500
Ta 0.000 0.500 0.000
```

Calculated total energy, eV/atom: -9.985
Energy relative to the elements, eV/f.u.: -0.3

---

Compound: La2AgHg
Source: Alexandria
Functional: GGA-PBEsol
Structure: relaxed Values from VASP.

The structure in Quantum ESPRESSO input format:
```
&SYSTEM
  ibrav = 0, nat = 4, ntyp = 3
/
ATOMIC_SPECIES
La 138.91 La.upf
Hg 200.59 Hg.upf
Ag 107.87 Ag.upf
CELL_PARAMETERS angstrom
3.773 0.000 0.000
0.000 5.374 0.000
0.000 0.000 5.374
ATOMIC_POSITIONS crystal
La 0.000 0.500 0.000
Hg 0.500 0.500 0.500
Ag 0.500 0.000 0.000
La 0.000 0.000 0.500
```

Calculated total energy, eV/atom: -4.027
Energy relative to the elements, eV/f.u.: -1.5

---

Compound: Li2CaHg
Source: Alexandria
Functional: GGA-PBEsol
Structure: relaxed Values from VASP.

The structure in Quantum ESPRESSO input format:
```
&SYSTEM
  ibrav = 0, nat = 4, ntyp = 3
/
ATOMIC_SPECIES
Li 6.94 Li.upf
Ca 40.08 Ca.upf
Hg 200.59 Hg.upf
CELL_PARAMETERS angstrom
-3.852 1.084 -1.895
-2.173 -1.510 3.551
0.241 4.332 1.989
ATOMIC_POSITIONS crystal
Li 0.500 0.500 0.000
Ca 0.500 0.000 0.500
Hg 0.000 0.500 0.500
Li 0.000 0.000 0.000
```

Calculated total energy, eV/atom: -1.896
Energy relative to the elements, eV/f.u.: -0.9

---

Compound: FeCo
Source: Alexandria
Functional: GGA-PBEsol
Structure: relaxed Values from VASP.

The structure in Quantum ESPRESSO input format:
```
&SYSTEM
  ibrav = 0, nat = 6, ntyp = 2
/
ATOMIC_SPECIES
Fe 55.84 Fe.upf
Co 58.93 Co.upf
CELL_PARAMETERS angstrom
-1.710 -2.565 -2.454
-1.086 -2.215 3.072
-3.059 3.252 -1.267
ATOMIC_POSITIONS crystal
Fe 0.000 0.332 0.664
Co 0.500 0.499 0.999
Co 0.500 0.172 0.344
Co 0.000 0.998 0.995
Fe 0.000 0.664 0.328
Fe 0.500 0.835 0.670
```

Calculated total energy, eV/atom: -8.329
Energy relative to the elements, eV/f.u.: 0.0

---

Compound: CrSiIr
Source: Alexandria
Functional: GGA-PBEsol
Structure: relaxed Values from VASP.

The structure in Quantum ESPRESSO input format:
```
&SYSTEM
  ibrav = 0, nat = 3, ntyp = 3
/
ATOMIC_SPECIES
Cr 52.00 Cr.upf
Ir 192.22 Ir.upf
Si 28.09 Si.upf
CELL_PARAMETERS angstrom
2.696 0.000 0.000
0.000 3.682 0.000
-1.348 -1.841 3.780
ATOMIC_POSITIONS crystal
Cr 0.998 0.998 0.997
Ir 0.667 0.667 0.333
Si 0.335 0.335 0.670
```

Calculated total energy, eV/atom: -8.851

---

Compound: Sr10Mg5Mo4WO30
Source: Alexandria
Functional: GGA-PBEsol
Structure: relaxed Values from VASP.

The structure in Quantum ESPRESSO input format:
```
&SYSTEM
  ibrav = 0, nat = 50, ntyp = 5
/
ATOMIC_SPECIES
O 16.00 O.upf
W 183.84 W.upf
Mg 24.30 Mg.upf
Sr 87.62 Sr.upf
Mo 95.94 Mo.upf
CELL_PARAMETERS angstrom
5.545 0.004 -0.004
2.775 4.841 -0.013
2.758 1.378 22.759
ATOMIC_POSITIONS crystal
O 0.004 0.943 0.143
W 0.500 0.500 0.000
O 0.359 0.846 0.954
Mg 0.600 0.600 0.700
O 0.641 0.154 0.046
O 0.459 0.979 0.160
Sr 0.648 0.650 0.550
O 0.594 0.656 0.058
Sr 0.352 0.350 0.450
Sr 0.448 0.450 0.151
O 0.242 0.757 0.247
O 0.442 0.957 0.646
O 0.758 0.243 0.753
O 0.605 0.543 0.343
O 0.195 0.257 0.257
Mg 0.800 0.799 0.100
Sr 0.552 0.550 0.849
Sr 0.151 0.149 0.050
O 0.395 0.457 0.657
O 0.205 0.143 0.543
Mg 0.000 0.000 0.500
Mo 0.300 0.300 0.600
Mo 0.100 0.100 0.200
O 0.958 0.443 0.154
O 0.340 0.821 0.441
Mo 0.700 0.700 0.400
O 0.795 0.857 0.457
O 0.138 0.621 0.040
Sr 0.248 0.251 0.750
Mg 0.200 0.201 0.900
O 0.259 0.780 0.759
O 0.406 0.344 0.942
O 0.660 0.179 0.559
O 0.996 0.057 0.857
O 0.862 0.379 0.960
Sr 0.849 0.851 0.950
Sr 0.752 0.749 0.250
O 0.842 0.357 0.446
O 0.059 0.580 0.360
O 0.541 0.021 0.840
O 0.741 0.220 0.241
O 0.558 0.043 0.354
O 0.941 0.420 0.640
Mg 0.400 0.400 0.300
O 0.042 0.557 0.846
O 0.805 0.743 0.743
Mo 0.900 0.900 0.800
Sr 0.049 0.051 0.350
O 0.158 0.643 0.554
Sr 0.951 0.949 0.650
```

Calculated total energy, eV/atom: -7.630

---

Compound: LaSbIr2
Source: Alexandria
Functional: GGA-PBEsol
Structure: relaxed Values from VASP.

The structure in Quantum ESPRESSO input format:
```
&SYSTEM
  ibrav = 0, nat = 4, ntyp = 3
/
ATOMIC_SPECIES
Ir 192.22 Ir.upf
La 138.91 La.upf
Sb 121.76 Sb.upf
CELL_PARAMETERS angstrom
3.563 0.000 0.000
0.000 3.563 0.000
0.000 0.000 6.322
ATOMIC_POSITIONS crystal
Ir 0.000 0.000 0.721
La 0.500 0.500 0.000
Ir 0.000 0.000 0.279
Sb 0.500 0.500 0.500
```

Calculated total energy, eV/atom: -7.515

---

Compound: KMg30MnO32
Source: Alexandria
Functional: GGA-PBEsol
Structure: relaxed Values from VASP.

The structure in Quantum ESPRESSO input format:
```
&SYSTEM
  ibrav = 0, nat = 64, ntyp = 4
/
ATOMIC_SPECIES
O 16.00 O.upf
Mg 24.30 Mg.upf
K 39.10 K.upf
Mn 54.94 Mn.upf
CELL_PARAMETERS angstrom
-6.846 -3.913 3.128
4.683 -6.880 1.643
1.795 3.080 7.782
ATOMIC_POSITIONS crystal
O 0.000 0.750 0.500
O 0.249 0.751 0.249
Mg 0.250 0.000 0.746
O 0.500 0.500 0.727
Mg 0.749 0.251 0.500
Mg 0.251 0.251 0.500
O 0.751 0.249 0.751
Mg 0.500 0.751 0.252
O 0.500 0.755 0.500
Mg 0.000 0.500 0.500
O 0.249 0.249 0.751
O 0.000 0.768 0.000
Mg 0.000 0.250 0.254
Mg 0.500 0.751 0.748
O 0.000 0.000 0.258
O 0.245 0.500 0.500
Mg 0.750 0.000 0.746
Mg 0.000 0.500 0.000
O 0.232 0.000 0.000
Mg 0.500 0.500 0.500
O 0.751 0.751 0.249
Mg 0.500 0.000 0.500
Mg 0.249 0.500 0.252
O 0.755 0.500 0.500
O 0.500 0.000 0.251
O 0.500 0.225 0.000
Mg 0.251 0.749 0.500
O 0.000 0.500 0.251
O 0.500 0.000 0.749
Mg 0.500 0.249 0.748
O 0.249 0.249 0.249
Mg 0.751 0.500 0.748
O 0.500 0.500 0.273
O 0.000 0.232 0.000
O 0.775 0.500 0.000
Mg 0.750 0.000 0.254
Mg 0.000 0.750 0.746
O 0.751 0.249 0.249
Mg 0.251 0.251 0.000
O 0.750 0.000 0.500
Mg 0.000 0.250 0.746
O 0.000 0.500 0.749
Mg 0.250 0.000 0.254
O 0.250 0.000 0.500
Mg 0.249 0.500 0.748
Mg 0.749 0.251 0.000
O 0.751 0.751 0.751
Mg 0.000 0.000 0.500
K 0.500 0.500 0.000
Mg 0.749 0.749 0.500
Mg 0.500 0.000 0.000
Mg 0.251 0.749 0.000
O 0.000 0.000 0.742
O 0.768 0.000 0.000
Mn 0.000 0.000 0.000
O 0.500 0.245 0.500
O 0.225 0.500 0.000
O 0.500 0.775 0.000
O 0.000 0.250 0.500
Mg 0.500 0.249 0.252
Mg 0.749 0.749 0.000
O 0.249 0.751 0.751
Mg 0.000 0.750 0.254
Mg 0.751 0.500 0.252
```

Calculated total energy, eV/atom: -6.222

---

Compound: LaBeRe2
Source: Alexandria
Functional: GGA-PBEsol
Structure: relaxed Values from VASP.

The structure in Quantum ESPRESSO input format:
```
&SYSTEM
  ibrav = 0, nat = 4, ntyp = 3
/
ATOMIC_SPECIES
La 138.91 La.upf
Be 9.01 Be.upf
Re 186.21 Re.upf
CELL_PARAMETERS angstrom
-1.527 1.198 1.784
-3.670 -3.956 -0.485
3.897 -0.574 3.721
ATOMIC_POSITIONS crystal
La 0.500 0.500 0.500
Be 0.500 0.000 0.000
Re 0.000 0.000 0.500
Re 0.000 0.500 0.000
```

Calculated total energy, eV/atom: -7.998
Energy relative to the elements, eV/f.u.: 4.0

---

Compound: BaCoOs3
Source: Alexandria
Functional: GGA-PBEsol
Structure: relaxed Values from VASP.

The structure in Quantum ESPRESSO input format:
```
&SYSTEM
  ibrav = 0, nat = 5, ntyp = 3
/
ATOMIC_SPECIES
Os 190.23 Os.upf
Co 58.93 Co.upf
Ba 137.33 Ba.upf
CELL_PARAMETERS angstrom
4.912 0.000 0.000
0.000 4.912 0.000
0.000 0.000 4.912
ATOMIC_POSITIONS crystal
Os 0.000 0.000 0.500
Os 0.000 0.500 0.000
Os 0.500 0.000 0.000
Co 0.500 0.500 0.500
Ba 0.000 0.000 0.000
```

Calculated total energy, eV/atom: -5.039
Energy relative to the elements, eV/f.u.: 21.3

---

Compound: MnCdP2
Source: Alexandria
Functional: GGA-PBEsol
Structure: relaxed Values from VASP.

The structure in Quantum ESPRESSO input format:
```
&SYSTEM
  ibrav = 0, nat = 4, ntyp = 3
/
ATOMIC_SPECIES
Cd 112.41 Cd.upf
P 30.97 P.upf
Mn 54.94 Mn.upf
CELL_PARAMETERS angstrom
-0.306 -3.953 1.130
0.348 0.817 -4.569
3.476 0.357 2.189
ATOMIC_POSITIONS crystal
Cd 0.500 0.000 0.500
P 0.750 0.500 0.250
Mn 0.000 0.000 0.000
P 0.250 0.500 0.750
```

Calculated total energy, eV/atom: -5.239
Energy relative to the elements, eV/f.u.: 1.6

---

Compound: In2PW
Source: Alexandria
Functional: GGA-PBEsol
Structure: relaxed Values from VASP.

The structure in Quantum ESPRESSO input format:
```
&SYSTEM
  ibrav = 0, nat = 4, ntyp = 3
/
ATOMIC_SPECIES
P 30.97 P.upf
In 114.82 In.upf
W 183.84 W.upf
CELL_PARAMETERS angstrom
2.960 0.000 0.000
1.480 2.563 0.000
1.480 0.854 9.792
ATOMIC_POSITIONS crystal
P 0.500 0.500 0.500
In 0.252 0.252 0.244
W 0.000 0.000 0.000
In 0.748 0.748 0.756
```

Calculated total energy, eV/atom: -5.770
Energy relative to the elements, eV/f.u.: 2.5

---

Compound: PtRh2
Source: Alexandria
Functional: GGA-PBEsol
Structure: relaxed Values from VASP.

The structure in Quantum ESPRESSO input format:
```
&SYSTEM
  ibrav = 0, nat = 6, ntyp = 2
/
ATOMIC_SPECIES
Pt 195.08 Pt.upf
Rh 102.91 Rh.upf
CELL_PARAMETERS angstrom
-0.528 2.192 -1.486
-4.602 -2.359 0.608
0.713 3.712 5.222
ATOMIC_POSITIONS crystal
Pt 0.999 0.998 0.997
Rh 0.054 0.107 0.612
Rh 0.388 0.777 0.279
Rh 0.333 0.666 0.667
Pt 0.668 0.336 0.337
Rh 0.724 0.449 0.941
```

Calculated total energy, eV/atom: -7.690
Energy relative to the elements, eV/f.u.: 0.2
ΔE to the lowest computed polymorph, eV/atom: 0.075

---

Compound: Hf3CoP
Source: Alexandria
Functional: GGA-PBEsol
Structure: relaxed Values from VASP.

The structure in Quantum ESPRESSO input format:
```
&SYSTEM
  ibrav = 0, nat = 5, ntyp = 3
/
ATOMIC_SPECIES
Hf 178.49 Hf.upf
P 30.97 P.upf
Co 58.93 Co.upf
CELL_PARAMETERS angstrom
4.650 0.000 0.000
0.000 4.650 0.000
0.000 0.000 4.650
ATOMIC_POSITIONS crystal
Hf 0.000 0.000 0.500
P 0.500 0.500 0.500
Hf 0.500 0.000 0.000
Co 0.000 0.000 0.000
Hf 0.000 0.500 0.000
```

Calculated total energy, eV/atom: -8.900
Energy relative to the elements, eV/f.u.: 0.5

---

Compound: Li2NiP4O12
Source: Alexandria
Functional: GGA-PBEsol
Structure: relaxed Values from VASP.

The structure in Quantum ESPRESSO input format:
```
&SYSTEM
  ibrav = 0, nat = 38, ntyp = 4
/
ATOMIC_SPECIES
O 16.00 O.upf
P 30.97 P.upf
Li 6.94 Li.upf
Ni 58.69 Ni.upf
CELL_PARAMETERS angstrom
7.315 0.029 0.000
-2.709 7.075 0.000
0.000 0.000 8.743
ATOMIC_POSITIONS crystal
O 0.957 0.317 0.724
P 0.307 0.794 0.911
O 0.604 0.216 0.938
O 0.648 0.091 0.632
Li 0.883 0.702 0.669
P 0.838 0.601 0.195
P 0.162 0.399 0.805
O 0.543 0.183 0.224
O 0.666 0.575 0.299
Ni 0.000 0.000 0.000
Li 0.617 0.798 0.169
Ni 0.500 0.500 0.500
O 0.159 0.269 0.936
O 0.292 0.565 0.384
O 0.341 0.231 0.436
O 0.852 0.409 0.132
O 0.457 0.817 0.776
O 0.334 0.425 0.701
P 0.662 0.899 0.695
O 0.841 0.731 0.064
O 0.148 0.591 0.868
P 0.693 0.206 0.089
Li 0.117 0.298 0.331
O 0.104 0.716 0.562
O 0.396 0.784 0.062
P 0.193 0.706 0.411
O 0.659 0.769 0.564
O 0.834 0.925 0.799
P 0.338 0.101 0.305
P 0.807 0.294 0.589
O 0.896 0.284 0.438
O 0.352 0.909 0.368
O 0.708 0.435 0.616
O 0.792 0.065 0.116
O 0.166 0.075 0.201
O 0.208 0.935 0.884
O 0.043 0.683 0.276
Li 0.383 0.202 0.831
```

Calculated total energy, eV/atom: -7.088
ΔE to the lowest computed polymorph, eV/atom: 0.041

---

Compound: SrCrSe2Br
Source: Alexandria
Functional: GGA-PBEsol
Structure: relaxed Values from VASP.

The structure in Quantum ESPRESSO input format:
```
&SYSTEM
  ibrav = 0, nat = 5, ntyp = 4
/
ATOMIC_SPECIES
Se 78.96 Se.upf
Sr 87.62 Sr.upf
Cr 52.00 Cr.upf
Br 79.90 Br.upf
CELL_PARAMETERS angstrom
-3.013 3.275 -3.424
1.010 -3.601 -4.333
-4.723 -2.941 1.343
ATOMIC_POSITIONS crystal
Se 0.000 0.500 0.000
Se 0.000 0.000 0.500
Sr 0.000 0.000 0.000
Cr 0.500 0.500 0.500
Br 0.500 0.000 0.000
```

Calculated total energy, eV/atom: -4.089